# 1
Material: CeSc2Sb
Method: DFT, GGA-PBE
State: optimized geometry

abc: 4.6748 4.6748 4.3644
angles: 90.00 90.00 90.00
With the nearest neighbours (Å) after each atom.
Positions (direct):
Ce: 0.0000 0.0000 0.0000  8 Sc 3.20, 4 Sb 3.31
Sc: 0.0000 0.5000 0.5000  4 Ce 3.20, 4 Sb 3.20, 4 Sc 3.31
Sc: 0.5000 0.0000 0.5000  4 Ce 3.20, 4 Sb 3.20, 4 Sc 3.31
Sb: 0.5000 0.5000 0.0000  8 Sc 3.20, 4 Ce 3.31

## Properties
raw formation energy: -1.94 eV/f.u.
ΔE to the lowest computed polymorph: 0.014 eV/atom
uncorrected energy: -6.164 eV per atom

# 2
Material: ZrHg2I4
Method: DFT, GGA-PBE
State: optimized geometry

abc: 10.6869 10.6869 10.5831
angles: 119.63 119.63 90.08
With the nearest neighbours (Å) after each atom.
Positions (direct):
Zr: 0.1234 0.8766 0.7500  4 I 2.70
Zr: 0.8766 0.1234 0.2500  4 I 2.70
Hg: 0.0000 0.5000 0.0000  6 I 4.11-4.12
Hg: 0.5000 0.0000 0.5000  6 I 4.11-4.12
Hg: 0.5000 0.5000 0.0000  6 I 4.14-4.17
Hg: 0.5000 0.5000 0.5000  6 I 4.14-4.17
I: 0.1841 0.2246 0.4529  1 Zr 2.70
I: 0.2246 0.1841 0.9529  1 Zr 2.70
I: 0.2252 0.7721 0.5403  1 Zr 2.70
I: 0.2279 0.7748 0.9597  1 Zr 2.70
I: 0.7721 0.2252 0.0403  1 Zr 2.70
I: 0.7748 0.2279 0.4597  1 Zr 2.70
I: 0.7754 0.8159 0.0471  1 Zr 2.70
I: 0.8159 0.7754 0.5471  1 Zr 2.70

## Properties
raw formation energy: -4.06 eV/f.u.
uncorrected energy: -2.773 eV per atom